Compound: GaAuN2O
Source: Alexandria
Functional: PBE-GGA
Structure: optimized geometry

Computed properties:
Total moment ... 0.663 μB per atom
Raw formation energy ... 1207 meV per atom
SG ... No. 123

Cell lengths 3.9980, 3.9980, 3.8690 Å; angles 90.00, 90.00, 90.00 degrees
Positions (direct):
1 Ga 0.0000 0.0000 0.0000
2 Au 0.5000 0.5000 0.5000
3 N 0.0000 0.5000 0.0000
4 N 0.5000 0.0000 0.0000
5 O 0.0000 0.0000 0.5000